Computed, not measured: a relaxed TeOsPt2 crystal at the PBE-GGA level of DFT.

POSCAR file:
```
TeOsPt2
1.0
4.015 0.000 0.000
0.000 4.015 0.000
0.000 0.000 8.495
Te Os Pt
2 2 4
Direct
0.000 0.000 0.000
0.500 0.500 0.500
0.000 0.000 0.500
0.500 0.500 0.000
0.000 0.500 0.250
0.000 0.500 0.750
0.500 0.000 0.250
0.500 0.000 0.750
```

Properties
Total DFT energy (no corrections) = -6.04 eV per atom
Calculated volume = 136.92 Å³/cell
Space-group type = I4/mmm, No. 139

=====

Computed, not measured: a relaxed Te2OsPt crystal at the PBE-GGA level of DFT.

POSCAR file:
```
Te2OsPt
1.0
3.914 0.000 0.000
0.000 3.890 0.000
-0.043 0.000 5.517
Te Os Pt
2 1 1
Direct
0.000 0.000 0.000
0.500 0.500 0.500
0.000 0.000 0.500
0.500 0.500 0.000
```

Properties
Total DFT energy (no corrections) = -5.46 eV per atom
Offset from the most stable computed form = 211 meV per atom
Calculated volume = 83.98 Å³/cell
Space-group type = P2/m, No. 10

=====

Computed, not measured: a relaxed TeOsPt2 crystal at the PBE-GGA level of DFT.

POSCAR file:
```
TeOsPt2
1.0
5.591 0.000 0.000
0.000 5.591 0.000
0.000 0.000 12.692
Te Os Pt
4 4 8
Direct
0.000 0.000 0.000
0.000 0.500 0.250
0.500 0.000 0.750
0.500 0.500 0.500
0.000 0.000 0.500
0.000 0.500 0.750
0.500 0.000 0.250
0.500 0.500 0.000
0.216 0.250 0.625
0.250 0.716 0.875
0.250 0.784 0.375
0.284 0.250 0.125
0.716 0.750 0.125
0.750 0.216 0.375
0.750 0.284 0.875
0.784 0.750 0.625
```

Properties
Total DFT energy (no corrections) = -5.91 eV per atom
Calculated volume = 396.73 Å³/cell
Space-group type = I-42d, No. 122

=====

Computed, not measured: a relaxed TeOsPt2 crystal at the PBE-GGA level of DFT.

POSCAR file:
```
TeOsPt2
1.0
2.795 0.000 0.000
0.000 3.743 0.000
0.000 0.000 6.984
Te Os Pt
1 1 2
Direct
0.000 0.000 0.000
0.500 0.000 0.500
0.000 0.500 0.297
0.000 0.500 0.703
```

Properties
Total DFT energy (no corrections) = -6.35 eV per atom
Calculated volume = 73.05 Å³/cell
Space-group type = Pmmm, No. 47

=====

Computed, not measured: a relaxed Th8Te4Os3Pt crystal at the PBE-GGA level of DFT.

POSCAR file:
```
Th8Te4Os3Pt
1.0
4.210 2.431 7.689
-4.210 2.431 7.689
0.000 -4.861 7.689
Th Te Os Pt
8 4 3 1
Direct
0.225 0.738 0.738
0.233 0.233 0.233
0.262 0.262 0.775
0.262 0.775 0.262
0.738 0.225 0.738
0.738 0.738 0.225
0.767 0.767 0.767
0.775 0.262 0.262
0.000 0.000 0.000
0.000 0.500 0.500
0.500 0.000 0.500
0.500 0.500 0.000
0.000 0.000 0.500
0.000 0.500 0.000
0.500 0.000 0.000
0.500 0.500 0.500
```

Properties
Total DFT energy (no corrections) = -7.92 eV per atom
Calculated volume = 472.06 Å³/cell
Space-group type = R-3m, No. 166

=====

Computed, not measured: a relaxed Th6TeOs3Pt2 crystal at the PBE-GGA level of DFT.

POSCAR file:
```
Th6TeOs3Pt2
1.0
9.314 -2.080 0.000
9.314 2.080 0.000
-2.292 0.000 8.279
Th Te Os Pt
6 1 3 2
Direct
0.005 0.005 0.221
0.321 0.321 0.428
0.335 0.335 0.910
0.665 0.665 0.090
0.679 0.679 0.572
0.995 0.995 0.779
0.500 0.500 0.500
0.164 0.164 0.327
0.500 0.500 0.000
0.836 0.836 0.673
0.167 0.167 0.831
0.833 0.833 0.169
```

Properties
Total DFT energy (no corrections) = -8.50 eV per atom
Calculated volume = 320.85 Å³/cell
Space-group type = C2/m, No. 12

=====

Computed, not measured: a relaxed Th6Te3OsPt2 crystal at the PBE-GGA level of DFT.

POSCAR file:
```
Th6Te3OsPt2
1.0
9.798 -2.121 0.000
9.798 2.121 0.000
-2.999 0.000 8.593
Th Te Os Pt
6 3 1 2
Direct
0.007 0.007 0.219
0.324 0.324 0.440
0.348 0.348 0.900
0.652 0.652 0.100
0.676 0.676 0.560
0.993 0.993 0.781
0.169 0.169 0.833
0.500 0.500 0.500
0.831 0.831 0.167
0.500 0.500 0.000
0.167 0.167 0.334
0.833 0.833 0.666
```

Properties
Total DFT energy (no corrections) = -7.52 eV per atom
Calculated volume = 357.22 Å³/cell
Space-group type = C2/m, No. 12

=====

Computed, not measured: a relaxed TlTeOsPt2 crystal at the PBE-GGA level of DFT.

POSCAR file:
```
TlTeOsPt2
1.0
4.883 0.000 0.000
0.000 4.883 0.000
0.000 0.000 5.257
Tl Te Os Pt
1 1 1 2
Direct
0.000 0.000 0.000
0.500 0.500 0.000
0.000 0.000 0.500
0.000 0.500 0.500
0.500 0.000 0.500
```

Properties
Total DFT energy (no corrections) = -4.75 eV per atom
Calculated volume = 125.36 Å³/cell
Space-group type = P4/mmm, No. 123

=====

Computed, not measured: a relaxed Th8Os5Pt crystal at the PBE-GGA level of DFT.

POSCAR file:
```
Th8Os5Pt
1.0
-4.478 4.478 4.388
4.478 -4.478 4.388
4.478 4.478 -4.388
Th Os Pt
8 5 1
Direct
0.265 0.510 0.633
0.367 0.241 0.243
0.368 0.735 0.244
0.490 0.123 0.756
0.759 0.002 0.126
0.876 0.633 0.874
0.877 0.632 0.367
0.998 0.124 0.757
0.130 0.015 0.386
0.256 0.870 0.885
0.500 0.500 0.000
0.629 0.744 0.614
0.985 0.371 0.115
0.750 0.250 0.500
```

Properties
Total DFT energy (no corrections) = -9.11 eV per atom
Calculated volume = 351.92 Å³/cell
DFT formation energy = -0.42 eV/atom
Space-group type = I-4, No. 82

=====

Computed, not measured: a relaxed Th4OsPt crystal at the PBE-GGA level of DFT.

POSCAR file:
```
Th4OsPt
1.0
7.217 0.000 0.000
0.000 7.217 0.000
0.000 0.000 6.089
Th Os Pt
8 2 2
Direct
0.160 0.326 0.000
0.160 0.674 0.500
0.326 0.160 0.500
0.326 0.840 0.000
0.674 0.160 0.000
0.674 0.840 0.500
0.840 0.326 0.500
0.840 0.674 0.000
0.000 0.000 0.250
0.000 0.000 0.750
0.500 0.500 0.250
0.500 0.500 0.750
```

Properties
Total DFT energy (no corrections) = -8.35 eV per atom
Calculated volume = 317.12 Å³/cell
DFT formation energy = -0.53 eV/atom
Space-group type = P4/mcc, No. 124

=====

Computed, not measured: a relaxed Th3OsPt2 crystal at the PBE-GGA level of DFT.

POSCAR file:
```
Th3OsPt2
1.0
8.400 0.000 0.000
0.000 5.890 0.000
0.000 0.000 12.391
Th Os Pt
12 4 8
Direct
0.112 0.250 0.079
0.124 0.250 0.749
0.140 0.250 0.423
0.360 0.750 0.923
0.376 0.750 0.249
0.388 0.750 0.579
0.612 0.250 0.421
0.624 0.250 0.751
0.640 0.250 0.077
0.860 0.750 0.577
0.876 0.750 0.251
0.888 0.750 0.921
0.127 0.750 0.089
0.373 0.250 0.589
0.627 0.750 0.411
0.873 0.250 0.911
0.124 0.750 0.742
0.125 0.750 0.419
0.375 0.250 0.919
0.376 0.250 0.242
0.624 0.750 0.758
0.625 0.750 0.081
0.875 0.250 0.581
0.876 0.250 0.258
```

Properties
Total DFT energy (no corrections) = -8.52 eV per atom
Calculated volume = 613.04 Å³/cell
DFT formation energy = -0.93 eV/atom
Space-group type = Pnma, No. 62

=====

Computed, not measured: a relaxed Th5OsPt4 crystal at the PBE-GGA level of DFT.

POSCAR file:
```
Th5OsPt4
1.0
-4.676 4.676 2.955
4.676 -4.676 2.955
4.676 4.676 -2.955
Th Os Pt
5 1 4
Direct
0.000 0.000 0.000
0.211 0.401 0.612
0.401 0.789 0.190
0.599 0.211 0.810
0.789 0.599 0.388
0.500 0.500 0.000
0.096 0.696 0.792
0.304 0.096 0.399
0.696 0.904 0.601
0.904 0.304 0.208
```

Properties
Total DFT energy (no corrections) = -8.31 eV per atom
Calculated volume = 258.39 Å³/cell
DFT formation energy = -1.06 eV/atom
Space-group type = I4/m, No. 87

=====

| no. | density of states at the Fermi level (states/eV per atom) |
| --- | --- |
| 1 | 1.46 |
| 2 | 0.80 |
| 3 | 0.17 |
| 4 | 0.89 |
| 5 | 0.48 |
| 6 | 0.59 |
| 7 | 0.78 |
| 8 | 1.12 |
| 9 | 0.80 |
| 10 | 1.12 |
| 11 | 0.45 |
| 12 | 0.40 |